(1)
Crystalline Na2HfHg2 at its relaxed geometry, computed with PBE.

```
data_Na2HfHg2
_chemical_formula_sum 'Na4 Hf2 Hg4'
_space_group_name_H-M_alt 'P 1'
_space_group_IT_number 1
_space_group_name_Hall 'P 1'
_cell_length_a 8.320
_cell_length_b 8.320
_cell_length_c 3.494
_cell_angle_alpha 90.00
_cell_angle_beta 90.00
_cell_angle_gamma 90.00
loop_
_atom_site_label
_atom_site_fract_x
_atom_site_fract_y
_atom_site_fract_z
Na1 0.371 0.129 0.500
Na2 0.871 0.371 0.500
Na3 0.629 0.871 0.500
Na4 0.129 0.629 0.500
Hf1 0.500 0.500 0.000
Hf2 0.000 0.000 0.000
Hg1 0.325 0.825 0.000
Hg2 0.825 0.675 0.000
Hg3 0.675 0.175 0.000
Hg4 0.175 0.325 0.000
```

Properties
Energy relative to the elements = 191.5 meV per atom
Final energy = -2.448 eV per atom

=====

(2)
Crystalline Ca2HgBr at its relaxed geometry, computed with PBE.

```
data_Ca2HgBr
_chemical_formula_sum 'Ca4 Hg2 Br2'
_space_group_name_H-M_alt 'P 1'
_space_group_IT_number 1
_space_group_name_Hall 'P 1'
_cell_length_a 7.987
_cell_length_b 7.987
_cell_length_c 7.000
_cell_angle_alpha 55.22
_cell_angle_beta 55.22
_cell_angle_gamma 90.00
loop_
_atom_site_label
_atom_site_fract_x
_atom_site_fract_y
_atom_site_fract_z
Br1 0.500 0.500 0.000
Br2 0.250 0.750 0.500
Ca1 0.618 0.125 0.250
Ca2 0.375 0.382 0.750
Ca3 0.875 0.868 0.750
Ca4 0.132 0.625 0.250
Hg1 0.750 0.250 0.500
Hg2 0.000 0.000 0.000
```

Properties
Energy relative to the lowest polymorph listed for this composition = 16.3 kJ/mol of atoms
Final energy = -2.270 eV per atom
Formation energy without anion corrections = -776 meV/atom

=====

(3)
Crystalline Ce2HoGa3 at its relaxed geometry, computed with PBE.

```
data_Ce2HoGa3
_chemical_formula_sum 'Ce4 Ho2 Ga6'
_space_group_name_H-M_alt 'P 1'
_space_group_IT_number 1
_space_group_name_Hall 'P 1'
_cell_length_a 5.105
_cell_length_b 5.105
_cell_length_c 12.562
_cell_angle_alpha 90.00
_cell_angle_beta 90.00
_cell_angle_gamma 120.00
loop_
_atom_site_label
_atom_site_fract_x
_atom_site_fract_y
_atom_site_fract_z
Ho1 0.667 0.333 0.333
Ho2 0.333 0.667 0.667
Ga1 0.000 0.000 0.746
Ga2 0.333 0.667 0.418
Ga3 0.667 0.333 0.582
Ga4 0.000 0.000 0.254
Ga5 0.667 0.333 0.086
Ga6 0.333 0.667 0.914
Ce1 0.000 0.000 0.000
Ce2 0.333 0.667 0.169
Ce3 0.667 0.333 0.831
Ce4 0.000 0.000 0.500
```

Properties
Energy relative to the elements = -497.9 meV per atom
Final energy = -4.752 eV per atom

=====

(4)
Crystalline LaGa2Ir at its relaxed geometry, computed with PBE.

```
data_LaGa2Ir
_chemical_formula_sum 'La2 Ga4 Ir2'
_space_group_name_H-M_alt 'P 1'
_space_group_IT_number 1
_space_group_name_Hall 'P 1'
_cell_length_a 4.794
_cell_length_b 4.794
_cell_length_c 9.153
_cell_angle_alpha 74.82
_cell_angle_beta 74.82
_cell_angle_gamma 90.00
loop_
_atom_site_label
_atom_site_fract_x
_atom_site_fract_y
_atom_site_fract_z
La1 0.500 0.500 0.000
La2 0.250 0.750 0.500
Ir1 0.750 0.250 0.500
Ir2 0.000 0.000 0.000
Ga1 0.875 0.076 0.750
Ga2 0.826 0.125 0.250
Ga3 0.375 0.174 0.750
Ga4 0.924 0.625 0.250
```

Properties
Energy relative to the elements = -375.6 meV per atom
Final energy = -5.336 eV per atom

=====

(5)
Crystalline Ba2LiMg12In3 at its relaxed geometry, computed with PBE.

```
data_Ba2LiMg12In3
_chemical_formula_sum 'Ba2 Li1 Mg12 In3'
_space_group_name_H-M_alt 'P 1'
_space_group_IT_number 1
_space_group_name_Hall 'P 1'
_cell_length_a 12.090
_cell_length_b 12.090
_cell_length_c 12.090
_cell_angle_alpha 35.72
_cell_angle_beta 35.72
_cell_angle_gamma 35.72
loop_
_atom_site_label
_atom_site_fract_x
_atom_site_fract_y
_atom_site_fract_z
Mg1 0.923 0.923 0.360
Mg2 0.360 0.923 0.923
Mg3 0.812 0.416 0.416
Mg4 0.188 0.584 0.584
Mg5 0.584 0.584 0.188
Mg6 0.416 0.416 0.812
Mg7 0.640 0.077 0.077
Mg8 0.584 0.188 0.584
Mg9 0.416 0.812 0.416
Mg10 0.077 0.640 0.077
Mg11 0.923 0.360 0.923
Mg12 0.077 0.077 0.640
In1 0.500 0.000 0.000
In2 0.000 0.000 0.500
In3 0.000 0.500 0.000
Li1 0.000 0.000 0.000
Ba1 0.354 0.354 0.354
Ba2 0.646 0.646 0.646
```

Properties
Energy relative to the elements = 81.4 meV per atom
Final energy = -1.758 eV per atom

=====

(6)
Crystalline TbAgPdAu at its relaxed geometry, computed with PBE.

```
data_TbAgPdAu
_chemical_formula_sum 'Tb1 Ag1 Pd1 Au1'
_space_group_name_H-M_alt 'P 1'
_space_group_IT_number 1
_space_group_name_Hall 'P 1'
_cell_length_a 4.264
_cell_length_b 4.265
_cell_length_c 5.220
_cell_angle_alpha 114.12
_cell_angle_beta 114.11
_cell_angle_gamma 90.00
loop_
_atom_site_label
_atom_site_fract_x
_atom_site_fract_y
_atom_site_fract_z
Ag1 0.000 0.000 0.000
Au1 0.750 0.250 0.500
Tb1 0.500 0.500 0.000
Pd1 0.250 0.750 0.500
```

Properties
Energy relative to the elements = -597.4 meV per atom
Final energy = -4.585 eV per atom

=====

(7)
Crystalline VTcB3 at its relaxed geometry, computed with PBE.

```
data_VTcB3
_chemical_formula_sum 'V1 Tc1 B3'
_space_group_name_H-M_alt 'P 1'
_space_group_IT_number 1
_space_group_name_Hall 'P 1'
_cell_length_a 3.803
_cell_length_b 3.803
_cell_length_c 3.803
_cell_angle_alpha 90.00
_cell_angle_beta 90.00
_cell_angle_gamma 90.00
loop_
_atom_site_label
_atom_site_fract_x
_atom_site_fract_y
_atom_site_fract_z
B1 0.000 0.500 0.000
B2 0.500 0.000 0.000
B3 0.000 0.000 0.500
V1 0.000 0.000 0.000
Tc1 0.500 0.500 0.500
```

Properties
Energy relative to the elements = 1293.7 meV per atom
Energy relative to the lowest polymorph listed for this composition = 27.4 kJ/mol of atoms
Final energy = -6.610 eV per atom

=====

(8)
Crystalline AcCeSi2O8 at its relaxed geometry, computed with PBE.

```
data_AcCeSi2O8
_chemical_formula_sum 'Ac1 Ce1 Si2 O8'
_space_group_name_H-M_alt 'P 1'
_space_group_IT_number 1
_space_group_name_Hall 'P 1'
_cell_length_a 5.013
_cell_length_b 5.013
_cell_length_c 8.027
_cell_angle_alpha 71.80
_cell_angle_beta 71.80
_cell_angle_gamma 60.00
loop_
_atom_site_label
_atom_site_fract_x
_atom_site_fract_y
_atom_site_fract_z
O1 0.325 0.325 0.026
O2 0.925 0.549 0.309
O3 0.549 0.218 0.309
O4 0.675 0.675 0.974
O5 0.218 0.925 0.309
O6 0.451 0.075 0.691
O7 0.075 0.782 0.691
O8 0.782 0.451 0.691
Si1 0.252 0.252 0.244
Si2 0.748 0.748 0.756
Ce1 0.500 0.500 0.500
Ac1 0.000 0.000 0.000
```

Properties
Final energy = -7.854 eV per atom
Formation energy without anion corrections = -2808 meV/atom

=====

(9)
Crystalline Ba2HgHPt at its relaxed geometry, computed with PBE.

```
data_Ba2HgHPt
_chemical_formula_sum 'Ba2 Hg1 H1 Pt1'
_space_group_name_H-M_alt 'P 1'
_space_group_IT_number 1
_space_group_name_Hall 'P 1'
_cell_length_a 5.843
_cell_length_b 5.843
_cell_length_c 3.843
_cell_angle_alpha 90.00
_cell_angle_beta 90.00
_cell_angle_gamma 90.00
loop_
_atom_site_label
_atom_site_fract_x
_atom_site_fract_y
_atom_site_fract_z
Hg1 0.500 0.500 0.500
H1 0.000 0.000 0.000
Ba1 0.500 0.000 0.000
Ba2 0.000 0.500 0.000
Pt1 0.000 0.000 0.500
```

Properties
Final energy = -3.243 eV per atom

=====

(10)
Crystalline KNi at its relaxed geometry, computed with PBE.

```
data_KNi
_chemical_formula_sum 'K8 Ni8'
_space_group_name_H-M_alt 'P 1'
_space_group_IT_number 1
_space_group_name_Hall 'P 1'
_cell_length_a 9.482
_cell_length_b 9.482
_cell_length_c 9.482
_cell_angle_alpha 90.00
_cell_angle_beta 90.00
_cell_angle_gamma 90.00
loop_
_atom_site_label
_atom_site_fract_x
_atom_site_fract_y
_atom_site_fract_z
K1 0.213 0.787 0.787
K2 0.787 0.787 0.213
K3 0.213 0.213 0.213
K4 0.287 0.287 0.713
K5 0.287 0.713 0.287
K6 0.787 0.213 0.787
K7 0.713 0.713 0.713
K8 0.713 0.287 0.287
Ni1 0.914 0.914 0.914
Ni2 0.086 0.086 0.914
Ni3 0.414 0.586 0.586
Ni4 0.586 0.586 0.414
Ni5 0.586 0.414 0.586
Ni6 0.414 0.414 0.414
Ni7 0.086 0.914 0.086
Ni8 0.914 0.086 0.086
```

Properties
Energy relative to the elements = 745.6 meV per atom
Energy relative to the lowest polymorph listed for this composition = 22.5 kJ/mol of atoms
Final energy = -2.694 eV per atom

=====

(11)
Crystalline TmReTcW at its relaxed geometry, computed with PBE.

```
data_TmReTcW
_chemical_formula_sum 'Tm1 Re1 Tc1 W1'
_space_group_name_H-M_alt 'P 1'
_space_group_IT_number 1
_space_group_name_Hall 'P 1'
_cell_length_a 4.571
_cell_length_b 4.571
_cell_length_c 4.571
_cell_angle_alpha 60.00
_cell_angle_beta 60.00
_cell_angle_gamma 60.00
loop_
_atom_site_label
_atom_site_fract_x
_atom_site_fract_y
_atom_site_fract_z
Tm1 0.500 0.500 0.500
Tc1 0.250 0.250 0.250
W1 0.000 0.000 0.000
Re1 0.750 0.750 0.750
```

Properties
Energy relative to the elements = 32.1 meV per atom
Final energy = -10.028 eV per atom

=====

(12)
Crystalline Re3RhO at its relaxed geometry, computed with PBE.

```
data_Re3RhO
_chemical_formula_sum 'Re3 Rh1 O1'
_space_group_name_H-M_alt 'P 1'
_space_group_IT_number 1
_space_group_name_Hall 'P 1'
_cell_length_a 4.700
_cell_length_b 4.700
_cell_length_c 4.700
_cell_angle_alpha 90.00
_cell_angle_beta 90.00
_cell_angle_gamma 90.00
loop_
_atom_site_label
_atom_site_fract_x
_atom_site_fract_y
_atom_site_fract_z
Re1 0.000 0.500 0.000
Re2 0.500 0.000 0.000
Re3 0.000 0.000 0.500
O1 0.500 0.500 0.500
Rh1 0.000 0.000 0.000
```

Properties
Energy relative to the lowest polymorph listed for this composition = 247.2 kJ/mol of atoms
Final energy = -7.014 eV per atom
Formation energy without anion corrections = 2917 meV/atom

=====

The lowest final energy belongs to which entry?
TmReTcW